AcPaBi2O8: optimized geometry, PBE.

a b c (Å): 6.5386 6.5386 6.5386
angles (deg): 108.88 108.88 110.66
Last column: nearest neighbours and their distance in Å.
Element x y z (fractional)
Ac: 0.0000 0.0000 0.0000  8 O 2.47-2.73
Pa: 0.2500 0.7500 0.5000  4 O 2.19
Bi: 0.5000 0.5000 0.0000  4 O 2.25
Bi: 0.7500 0.2500 0.5000  4 O 2.04
O: 0.2940 0.0781 0.7841  1 Pa 2.19, 1 Bi 2.25
O: 0.2940 0.5099 0.2159  1 Pa 2.19, 1 Bi 2.25
O: 0.3673 0.0459 0.3214  1 Bi 2.04
O: 0.4901 0.7060 0.7841  1 Pa 2.19, 1 Bi 2.25
O: 0.7244 0.0459 0.6786  1 Bi 2.04
O: 0.9219 0.7060 0.2159  1 Pa 2.19, 1 Bi 2.25
O: 0.9541 0.2756 0.3214  1 Bi 2.04
O: 0.9541 0.6327 0.6786  1 Bi 2.04

Computed properties:
uncorrected formation energy	-25.56	eV/f.u.


CeHo2Be: optimized geometry, PBE.

a b c (Å): 3.4045 3.4045 8.6104
angles (deg): 90.00 90.00 90.00
Last column: nearest neighbours and their distance in Å.
Element x y z (fractional)
Ce: 0.0000 0.0000 0.0000  4 Ce 3.40, 8 Ho 3.58
Ho: 0.5000 0.5000 0.3083  4 Be 2.92
Ho: 0.5000 0.5000 0.6917  4 Be 2.92
Be: 0.0000 0.0000 0.5000  8 Ho 2.92

Computed properties:
D(E_F)	1.58	states/eV/atom
E above lowest polymorph	0.00	eV per formula unit
calculated formation energy	0.10	eV/atom


MgPbAu2: optimized geometry, PBE.

a b c (Å): 7.8541 7.8541 5.8999
angles (deg): 90.00 90.00 90.00
Last column: nearest neighbours and their distance in Å.
Element x y z (fractional)
Mg: 0.0000 0.0000 0.0000  4 Au 2.73, 2 Pb 2.95
Mg: 0.0000 0.5000 0.2500  4 Au 2.73, 2 Pb 2.95
Mg: 0.5000 0.0000 0.7500  4 Au 2.73, 2 Pb 2.95
Mg: 0.5000 0.5000 0.5000  4 Au 2.73, 2 Pb 2.95
Pb: 0.0000 0.0000 0.5000  2 Mg 2.95, 4 Au 3.02
Pb: 0.0000 0.5000 0.7500  2 Mg 2.95, 4 Au 3.02
Pb: 0.5000 0.0000 0.2500  2 Mg 2.95, 4 Au 3.02
Pb: 0.5000 0.5000 0.0000  2 Mg 2.95, 4 Au 3.02
Au: 0.2231 0.2500 0.1250  2 Mg 2.73, 2 Au 2.98, 2 Pb 3.02
Au: 0.2500 0.7231 0.3750  2 Mg 2.73, 2 Au 2.98, 2 Pb 3.02
Au: 0.2500 0.7769 0.8750  2 Mg 2.73, 2 Au 2.98, 2 Pb 3.02
Au: 0.2769 0.2500 0.6250  2 Mg 2.73, 2 Au 2.98, 2 Pb 3.02
Au: 0.7231 0.7500 0.6250  2 Mg 2.73, 2 Au 2.98, 2 Pb 3.02
Au: 0.7500 0.2231 0.8750  2 Mg 2.73, 2 Au 2.98, 2 Pb 3.02
Au: 0.7500 0.2769 0.3750  2 Mg 2.73, 2 Au 2.98, 2 Pb 3.02
Au: 0.7769 0.7500 0.1250  2 Mg 2.73, 2 Au 2.98, 2 Pb 3.02

Computed properties:
D(E_F)	0.31	states/eV/atom
calculated formation energy	-0.12	eV/atom